Here is crystalline La4Pu6O19 at its relaxed geometry from the Alexandria database. Energies are from GGA-PBE.

Properties
**Volume**: 481.8 Å³/cell
**VASP energy**: -9.944 eV/atom
**Formation energy (no corrections)**: -3.051 eV/atom

Cell: 8.5537 8.5537 8.5537 Å, 109.47 109.47 109.47°
Site moments in Bohr magnetons follow the coordinates.
Sites, in units of the cell vectors:
Pu1 0.5000 0.8276 0.3276  3.96
Pu2 0.1724 0.6724 0.5000  3.96
Pu3 0.5000 0.1724 0.6724  3.96
Pu4 0.3276 0.5000 0.8276  3.96
Pu5 0.6724 0.5000 0.1724  3.96
Pu6 0.8276 0.3276 0.5000  3.96
O1 0.0000 0.0000 0.0000  0.00
O2 0.7319 0.7593 0.4030  -0.10
O3 0.0274 0.2681 0.6712  -0.10
O4 0.9726 0.6437 0.2407  -0.10
O5 0.2681 0.6712 0.0274  -0.10
O6 0.4030 0.7319 0.7593  -0.10
O7 0.0000 0.3580 0.3580  -0.12
O8 0.3580 0.0000 0.3580  -0.12
O9 0.6420 0.6420 0.0000  -0.12
O10 0.2407 0.9726 0.6437  -0.10
O11 0.6712 0.0274 0.2681  -0.10
O12 0.3563 0.3288 0.5970  -0.10
O13 0.6437 0.2407 0.9726  -0.10
O14 0.0000 0.6420 0.6420  -0.12
O15 0.5970 0.3563 0.3288  -0.10
O16 0.7593 0.4030 0.7319  -0.10
O17 0.6420 0.0000 0.6420  -0.12
O18 0.3288 0.5970 0.3563  -0.10
O19 0.3580 0.3580 0.0000  -0.12
La1 0.0000 0.0000 0.7070  0.00
La2 0.2930 0.2930 0.2930  0.00
La3 0.0000 0.7070 0.0000  0.00
La4 0.7070 0.0000 0.0000  0.00